(1)
DFT (PBE) results for Ac2Cd3Au6 after structural relaxation.

a = 8.164 Å, b = 8.164 Å, c = 4.194 Å
α = 90.00°, β = 90.00°, γ = 94.97°
Fractional positions:
Ac 0.193 0.807 0.000
Ac 0.807 0.193 0.000
Cd 0.300 0.300 0.000
Cd 0.500 0.500 0.500
Cd 0.700 0.700 0.000
Au 0.125 0.125 0.500
Au 0.162 0.497 0.500
Au 0.497 0.162 0.500
Au 0.503 0.838 0.500
Au 0.838 0.503 0.500
Au 0.875 0.875 0.500

Properties
Space group: Cmmm (65)
Calculated formation energy, eV/atom: -0.461

***

(2)
DFT (PBE) results for GaGeSeBr2 after structural relaxation.

a = 5.418 Å, b = 5.418 Å, c = 5.066 Å
α = 90.00°, β = 90.00°, γ = 90.00°
Fractional positions:
Ga 0.000 0.000 0.000
Ge 0.500 0.500 0.500
Se 0.500 0.500 0.000
Br 0.000 0.500 0.500
Br 0.500 0.000 0.500

Properties
Energy relative to the elements, uncorrected, meV/atom: -161.5
Space group: P4/mmm (123)
Excess energy over the best structure of this formula in the dataset, meV per atom: 0

***

(3)
DFT (PBE) results for Tb6Pr5Nd after structural relaxation.

a = 6.317 Å, b = 6.317 Å, c = 11.939 Å
α = 95.04°, β = 95.04°, γ = 120.01°
Fractional positions:
Tb 0.084 0.417 0.750
Tb 0.250 0.250 0.250
Tb 0.417 0.084 0.750
Tb 0.583 0.916 0.250
Tb 0.750 0.750 0.750
Tb 0.916 0.583 0.250
Pr 0.000 0.000 0.500
Pr 0.167 0.833 0.000
Pr 0.333 0.667 0.500
Pr 0.667 0.333 0.500
Pr 0.833 0.167 0.000
Nd 0.500 0.500 0.000

Properties
Space group: C2/m (12)
Calculated formation energy, eV/atom: 0.010
Excess energy over the best structure of this formula in the dataset, meV per atom: 0

***

(4)
DFT (PBE) results for PrEr3Hg2 after structural relaxation.

a = 5.083 Å, b = 9.280 Å, c = 7.182 Å
α = 90.00°, β = 90.00°, γ = 90.00°
Fractional positions:
Pr 0.000 0.058 0.000
Pr 0.000 0.942 0.500
Er 0.000 0.330 0.650
Er 0.000 0.670 0.150
Er 0.500 0.182 0.319
Er 0.500 0.442 0.968
Er 0.500 0.558 0.468
Er 0.500 0.818 0.819
Hg 0.000 0.356 0.228
Hg 0.000 0.644 0.728
Hg 0.500 0.151 0.739
Hg 0.500 0.849 0.239

Properties
Space group: Pmc2_1 (26)
Calculated formation energy, eV/atom: -0.343
Excess energy over the best structure of this formula in the dataset, meV per atom: 0

***

(5)
DFT (PBE) results for SrLiAgPd after structural relaxation.

a = 4.538 Å, b = 4.538 Å, c = 5.893 Å
α = 112.53°, β = 112.53°, γ = 60.04°
Fractional positions:
Sr 0.000 0.000 0.000
Li 0.491 0.491 0.473
Ag 0.201 0.201 0.603
Pd 0.796 0.796 0.388

Properties
Space group: Cm (8)
Calculated formation energy, eV/atom: -0.376

***

(6)
DFT (PBE) results for V3Mo3Os after structural relaxation.

a = 5.198 Å, b = 5.198 Å, c = 5.198 Å
α = 109.44°, β = 109.44°, γ = 109.44°
Fractional positions:
V 0.008 0.496 0.496
V 0.496 0.008 0.496
V 0.496 0.496 0.008
Mo 0.548 0.995 0.995
Mo 0.995 0.548 0.995
Mo 0.995 0.995 0.548
Os 0.457 0.457 0.457

Properties
Space group: R3m (160)
Calculated formation energy, eV/atom: 0.207

***

(7)
DFT (PBE) results for Nb2VS6 after structural relaxation.

a = 8.423 Å, b = 8.423 Å, c = 7.633 Å
α = 113.32°, β = 113.32°, γ = 22.89°
Fractional positions:
Nb 0.159 0.159 0.323
Nb 0.841 0.841 0.677
V 0.500 0.500 0.000
S 0.001 0.001 0.228
S 0.327 0.327 0.426
S 0.343 0.343 0.917
S 0.657 0.657 0.083
S 0.673 0.673 0.574
S 0.999 0.999 0.772

Properties
Energy relative to the elements, uncorrected, meV/atom: -941.9
Space group: C2/m (12)
Excess energy over the best structure of this formula in the dataset, meV per atom: 0

***

(8)
DFT (PBE) results for BeAgOs2 after structural relaxation.

a = 8.897 Å, b = 8.897 Å, c = 8.897 Å
α = 17.49°, β = 17.49°, γ = 17.49°
Fractional positions:
Be 0.000 0.000 0.000
Ag 0.500 0.500 0.500
Os 0.261 0.261 0.261
Os 0.739 0.739 0.739

Properties
Space group: R-3m (166)
Calculated formation energy, eV/atom: 0.337

***

Number 1: V 278.5 Å³/cell. Number 2: V 148.7 Å³/cell. Number 3: V 406.1 Å³/cell. Number 4: V 338.8 Å³/cell. Number 5: V 94.3 Å³/cell. Number 6: V 108.3 Å³/cell. Number 7: V 192.7 Å³/cell. Number 8: V 55.5 Å³/cell.